No. 1
This record from the Alexandria database describes Tm2NpPaAs4 after structural relaxation. The functional is PBE-GGA.

Cell: 4.0810 7.0850 7.0530 Å, 70.53 90.00 90.00°
Atoms (fractional coordinates):
As 0.5000 0.7533 0.2503
As 0.5000 0.2467 0.7497
As 0.0000 0.7524 0.7481
As 0.0000 0.2476 0.2519
Tm 0.5000 0.0000 0.5000
Tm 0.0000 0.0000 0.0000
Pa 0.0000 0.5000 0.5000
Np 0.5000 0.5000 0.0000

- Energy relative to the elements: -1.18 eV/atom
- Volume: 24.033 Å³ per atom
- Calculated total energy: -7.4320 eV/atom
- Fermi-level density of states: 1.43 states/eV per atom

=====

No. 2
This record from the Alexandria database describes TmNp2PaAs4 after structural relaxation. The functional is PBE-GGA.

Cell: 4.1043 7.0962 7.0857 Å, 109.55 90.00 90.00°
Atoms (fractional coordinates):
As 0.5000 0.7516 0.7526
As 0.5000 0.2484 0.2474
As 0.0000 0.7513 0.2475
As 0.0000 0.2487 0.7525
Tm 0.0000 0.0000 0.0000
Pa 0.5000 0.5000 0.0000
Np 0.0000 0.5000 0.5000
Np 0.5000 0.0000 0.5000

- Energy relative to the elements: -0.99 eV/atom
- Volume: 24.309 Å³ per atom
- Calculated total energy: -8.2914 eV/atom
- Fermi-level density of states: 2.57 states/eV per atom

=====

No. 3
This record from the Alexandria database describes NpU2PaAs4 after structural relaxation. The functional is PBE-GGA.

Cell: 4.0729 7.2006 7.0172 Å, 70.81 90.00 90.00°
Atoms (fractional coordinates):
As 0.5000 0.7505 0.2502
As 0.0000 0.2495 0.2505
As 0.5000 0.2495 0.7498
As 0.0000 0.7505 0.7495
Pa 0.0000 0.5000 0.5000
Np 0.5000 0.5000 0.0000
U 0.5000 0.0000 0.5000
U 0.0000 0.0000 0.0000

- Energy relative to the elements: -0.79 eV/atom
- Volume: 24.295 Å³ per atom
- Calculated total energy: -8.7455 eV/atom
- Fermi-level density of states: 2.80 states/eV per atom

=====

No. 4
This record from the Alexandria database describes Np4U3PaAs8 after structural relaxation. The functional is PBE-GGA.

Cell: 8.1959 8.1891 8.1923 Å, 119.98 120.01 90.00°
Atoms (fractional coordinates):
Np 0.0000 0.0000 0.0000
Np 0.0000 0.0000 0.5000
Np 0.5000 0.0000 0.5000
Np 0.5000 0.0000 0.0000
As 0.7499 0.7496 0.4997
As 0.7500 0.2513 0.5000
As 0.2513 0.2514 0.0013
As 0.2501 0.2504 0.5003
As 0.7500 0.2514 0.0013
As 0.7487 0.7486 0.9987
As 0.2500 0.7486 0.9987
As 0.2500 0.7487 0.5000
U 0.5000 0.5000 0.0000
U 0.0000 0.5000 0.5000
U 0.5000 0.5000 0.5000
Pa 0.0000 0.5000 0.0000

- Energy relative to the elements: -0.73 eV/atom
- Volume: 24.301 Å³ per atom
- Calculated total energy: -9.0049 eV/atom
- Fermi-level density of states: 3.55 states/eV per atom

=====

No. 5
This record from the Alexandria database describes Np4UPa3As8 after structural relaxation. The functional is PBE-GGA.

Cell: 8.2110 8.1848 8.2431 Å, 120.52 119.87 90.00°
Atoms (fractional coordinates):
Np 0.0000 0.0000 0.5000
Np 0.5000 0.0000 0.5000
Np 0.0000 0.0000 0.0000
Np 0.5000 0.0000 0.0000
As 0.7504 0.7490 0.9997
As 0.2493 0.7490 0.9997
As 0.2503 0.2513 0.5005
As 0.7507 0.2510 0.0003
As 0.2496 0.2510 0.0003
As 0.7497 0.7487 0.4995
As 0.7502 0.2504 0.5004
As 0.2498 0.7496 0.4996
Pa 0.0000 0.5000 0.5000
Pa 0.5000 0.5000 0.5000
Pa 0.5000 0.5000 0.0000
U 0.0000 0.5000 0.0000

- Energy relative to the elements: -0.83 eV/atom
- Volume: 24.338 Å³ per atom
- Calculated total energy: -8.8742 eV/atom
- Fermi-level density of states: 3.12 states/eV per atom

=====

No. 6
This record from the Alexandria database describes NpU3Pa2As6 after structural relaxation. The functional is PBE-GGA.

Cell: 4.0643 8.2426 9.1971 Å, 104.29 102.77 90.00°
Atoms (fractional coordinates):
As 0.6667 0.0823 0.3334
As 0.3335 0.4172 0.6670
As 0.6665 0.5828 0.3330
As 0.9997 0.2504 0.9995
As 0.3333 0.9177 0.6666
As 0.0003 0.7496 0.0005
Np 0.5000 0.0000 0.0000
U 0.5000 0.5000 0.0000
U 0.1668 0.8325 0.3336
U 0.8332 0.1675 0.6664
Pa 0.1665 0.3326 0.3330
Pa 0.8335 0.6674 0.6670

- Energy relative to the elements: -0.82 eV/atom
- Volume: 24.225 Å³ per atom
- Calculated total energy: -8.6314 eV/atom
- Fermi-level density of states: 2.67 states/eV per atom

=====

No. 7
This record from the Alexandria database describes Np2UPa3As6 after structural relaxation. The functional is PBE-GGA.

Cell: 4.0933 8.1939 9.1421 Å, 102.29 102.94 90.00°
Atoms (fractional coordinates):
As 0.9999 0.2495 0.9999
As 0.6666 0.0837 0.3332
As 0.3334 0.9163 0.6668
As 0.3335 0.4157 0.6671
As 0.6665 0.5843 0.3329
As 0.0001 0.7505 0.0001
Np 0.1670 0.3344 0.3340
Np 0.8330 0.6656 0.6660
U 0.5000 0.0000 0.0000
Pa 0.8336 0.1657 0.6673
Pa 0.5000 0.5000 0.0000
Pa 0.1664 0.8343 0.3327

- Energy relative to the elements: -0.88 eV/atom
- Volume: 24.302 Å³ per atom
- Calculated total energy: -8.6789 eV/atom
- Fermi-level density of states: 2.74 states/eV per atom

=====

No. 8
This record from the Alexandria database describes NpU4Pa3As8 after structural relaxation. The functional is PBE-GGA.

Cell: 8.0998 8.2597 8.0998 Å, 119.36 120.00 90.00°
Atoms (fractional coordinates):
As 0.2503 0.7508 0.5006
As 0.2497 0.2492 0.4994
As 0.7503 0.7508 0.5006
As 0.2499 0.2492 0.9995
As 0.7497 0.2492 0.9995
As 0.2503 0.7508 0.0005
As 0.7497 0.2492 0.4994
As 0.7501 0.7508 0.0005
Np 0.0000 0.5000 0.0000
Pa 0.0000 0.5000 0.5000
Pa 0.5000 0.5000 0.0000
Pa 0.5000 0.5000 0.5000
U 0.5000 0.0000 0.0000
U 0.0000 0.0000 0.5000
U 0.0000 0.0000 0.0000
U 0.5000 0.0000 0.5000

- Energy relative to the elements: -0.84 eV/atom
- Volume: 24.177 Å³ per atom
- Calculated total energy: -8.5750 eV/atom
- Fermi-level density of states: 2.60 states/eV per atom

=====

No. 9
This record from the Alexandria database describes NpUPa2As4 after structural relaxation. The functional is PBE-GGA.

Cell: 4.0862 7.0698 7.1240 Å, 109.36 90.00 90.00°
Atoms (fractional coordinates):
Pa 0.5000 0.0000 0.5000
Pa 0.0000 0.5000 0.5000
As 0.0000 0.7494 0.2498
As 0.0000 0.2506 0.7502
As 0.5000 0.7495 0.7498
As 0.5000 0.2505 0.2502
U 0.5000 0.5000 0.0000
Np 0.0000 0.0000 0.0000

- Energy relative to the elements: -0.88 eV/atom
- Volume: 24.270 Å³ per atom
- Calculated total energy: -8.6079 eV/atom
- Fermi-level density of states: 2.53 states/eV per atom

=====

No. 10
This record from the Alexandria database describes YNpPa2As4 after structural relaxation. The functional is PBE-GGA.

Cell: 4.1124 7.1254 7.0796 Å, 109.57 90.00 90.00°
Atoms (fractional coordinates):
Pa 0.5000 0.0000 0.5000
Pa 0.0000 0.5000 0.5000
Y 0.5000 0.5000 0.0000
As 0.5000 0.2506 0.2511
As 0.5000 0.7494 0.7489
As 0.0000 0.2494 0.7478
As 0.0000 0.7506 0.2522
Np 0.0000 0.0000 0.0000

- Energy relative to the elements: -1.09 eV/atom
- Volume: 24.433 Å³ per atom
- Calculated total energy: -8.2114 eV/atom
- Fermi-level density of states: 1.77 states/eV per atom

=====

No. 11
This record from the Alexandria database describes Y2NpPaAs4 after structural relaxation. The functional is PBE-GGA.

Cell: 4.1112 7.1028 7.1442 Å, 109.46 90.00 90.00°
Atoms (fractional coordinates):
As 0.0000 0.2523 0.7519
As 0.5000 0.7496 0.7527
As 0.5000 0.2504 0.2473
As 0.0000 0.7477 0.2481
Pa 0.5000 0.5000 0.0000
Np 0.0000 0.0000 0.0000
Y 0.5000 0.0000 0.5000
Y 0.0000 0.5000 0.5000

- Energy relative to the elements: -1.22 eV/atom
- Volume: 24.588 Å³ per atom
- Calculated total energy: -7.9605 eV/atom
- Fermi-level density of states: 1.50 states/eV per atom

=====

No. 12
This record from the Alexandria database describes Zr2NpPaAs4 after structural relaxation. The functional is PBE-GGA.

Cell: 3.9929 6.8618 6.9183 Å, 70.41 90.00 90.00°
Atoms (fractional coordinates):
As 0.0000 0.7636 0.7455
As 0.0000 0.2364 0.2545
As 0.5000 0.7626 0.2459
As 0.5000 0.2374 0.7541
Zr 0.0000 0.0000 0.0000
Zr 0.5000 0.0000 0.5000
Pa 0.5000 0.5000 0.0000
Np 0.0000 0.5000 0.5000

- Energy relative to the elements: -1.03 eV/atom
- Volume: 22.322 Å³ per atom
- Calculated total energy: -8.2986 eV/atom
- Fermi-level density of states: 1.37 states/eV per atom